VASP calculation (PBE) on a relaxed Nd6Sm2Dy crystal.

Calculated values
Density of states at the Fermi level (states/eV/atom): 1.452
Distance to the lowest polymorph of the same formula (kcal/mol of atoms): 0.00
Magnetization (μB/f.u.): 0.000
SG: Cmmm, No. 65
Formation enthalpy at 0 K (meV/atom): 129

POSCAR file:
```
Nd6Sm2Dy
1.0
-1.717 3.234 0.272
-4.045 -2.891 8.848
4.360 1.556 9.032
Sm Nd Dy
2 6 1
direct
0.500 0.177 0.177
0.500 0.823 0.823
0.000 0.160 0.511
0.500 0.316 0.684
0.000 0.489 0.840
0.000 0.511 0.160
0.500 0.684 0.316
0.000 0.840 0.489
0.000 0.000 0.000
```